No. 1
! LiCoBIr PBE optimized geometry; values from VASP
&SYSTEM
  ibrav = 0, nat = 4, ntyp = 4
/
ATOMIC_SPECIES
Li 6.94 Li.upf
Co 58.93 Co.upf
B 10.81 B.upf
Ir 192.22 Ir.upf
CELL_PARAMETERS angstrom
0.000 2.771 2.771
2.771 0.000 2.771
2.771 2.771 0.000
ATOMIC_POSITIONS crystal
Li 0.000 0.000 0.000
Co 0.500 0.500 0.500
B 0.250 0.250 0.250
Ir 0.750 0.750 0.750
! Calculated total energy   -5.740 eV per atom
! Energy above the most stable polymorph in this dataset   39.51 kJ/mol of atoms
! ρ   10.50 g/cm³
! SG   No. 216

---

No. 2
! TmAlPd PBE optimized geometry; values from VASP
&SYSTEM
  ibrav = 0, nat = 12, ntyp = 3
/
ATOMIC_SPECIES
Tm 168.93 Tm.upf
Al 26.98 Al.upf
Pd 106.42 Pd.upf
CELL_PARAMETERS angstrom
6.821 0.000 0.000
0.000 4.402 0.000
0.000 0.000 7.725
ATOMIC_POSITIONS crystal
Tm 0.030 0.250 0.181
Tm 0.470 0.750 0.681
Tm 0.530 0.250 0.319
Tm 0.970 0.750 0.819
Al 0.147 0.250 0.563
Al 0.353 0.750 0.063
Al 0.647 0.250 0.937
Al 0.853 0.750 0.437
Pd 0.230 0.750 0.383
Pd 0.270 0.250 0.883
Pd 0.730 0.750 0.117
Pd 0.770 0.250 0.617
! Calculated total energy   -5.367 eV per atom
! ρ   8.66 g/cm³
! SG   No. 62

---

No. 3
! MgZr5Sc2 PBE optimized geometry; values from VASP
&SYSTEM
  ibrav = 0, nat = 8, ntyp = 3
/
ATOMIC_SPECIES
Mg 24.30 Mg.upf
Zr 91.22 Zr.upf
Sc 44.96 Sc.upf
CELL_PARAMETERS angstrom
5.121 0.000 0.000
0.000 3.209 5.618
0.000 -3.209 5.618
ATOMIC_POSITIONS crystal
Mg 0.000 0.000 0.000
Zr 0.000 0.008 0.497
Zr 0.000 0.497 0.008
Zr 0.500 0.333 0.333
Zr 0.500 0.337 0.833
Zr 0.500 0.833 0.337
Sc 0.000 0.499 0.499
Sc 0.500 0.835 0.835
! Calculated total energy   -7.088 eV per atom
! ρ   5.13 g/cm³
! SG   No. 38

---

No. 4
! AlGaTcH6 PBE optimized geometry; values from VASP
&SYSTEM
  ibrav = 0, nat = 9, ntyp = 4
/
ATOMIC_SPECIES
Al 26.98 Al.upf
Ga 69.72 Ga.upf
Tc 98.00 Tc.upf
H 1.01 H.upf
CELL_PARAMETERS angstrom
0.000 3.219 3.219
3.219 0.000 3.219
3.219 3.219 0.000
ATOMIC_POSITIONS crystal
Al 0.000 0.000 0.000
Ga 0.500 0.500 0.500
Tc 0.250 0.250 0.250
H 0.521 0.521 0.979
H 0.521 0.979 0.521
H 0.521 0.979 0.979
H 0.979 0.521 0.521
H 0.979 0.521 0.979
H 0.979 0.979 0.521
! Calculated total energy   -4.088 eV per atom
! ρ   5.00 g/cm³
! SG   No. 216

---

No. 5
! RbNbAsO PBE optimized geometry; values from VASP
&SYSTEM
  ibrav = 0, nat = 8, ntyp = 4
/
ATOMIC_SPECIES
Rb 85.47 Rb.upf
Nb 92.91 Nb.upf
As 74.92 As.upf
O 16.00 O.upf
CELL_PARAMETERS angstrom
4.187 0.000 0.000
0.000 4.187 0.000
0.000 0.000 11.676
ATOMIC_POSITIONS crystal
Rb 0.250 0.250 0.147
Rb 0.750 0.750 0.853
Nb 0.250 0.750 0.500
Nb 0.750 0.250 0.500
As 0.250 0.250 0.633
As 0.750 0.750 0.367
O 0.250 0.750 0.000
O 0.750 0.250 0.000
! Calculated total energy   -5.307 eV per atom
! Energy above the most stable polymorph in this dataset   88.25 kJ/mol of atoms
! ρ   4.37 g/cm³
! SG   No. 129

---

No. 6
! Dy2Pd PBE optimized geometry; values from VASP
&SYSTEM
  ibrav = 0, nat = 6, ntyp = 2
/
ATOMIC_SPECIES
Dy 162.50 Dy.upf
Pd 106.42 Pd.upf
CELL_PARAMETERS angstrom
0.000 4.218 4.218
4.218 0.000 4.218
4.218 4.218 0.000
ATOMIC_POSITIONS crystal
Dy 0.000 0.000 0.000
Dy 0.000 0.000 0.500
Dy 0.000 0.500 0.000
Dy 0.500 0.000 0.000
Pd 0.375 0.375 0.375
Pd 0.625 0.625 0.625
! Formation energy   114.9 kJ/mol of formula units
! Calculated total energy   -4.396 eV per atom
! ρ   9.54 g/cm³
! SG   No. 227

---

No. 7
! PrF3 PBE optimized geometry; values from VASP
&SYSTEM
  ibrav = 0, nat = 24, ntyp = 2
/
ATOMIC_SPECIES
Pr 140.91 Pr.upf
F 19.00 F.upf
CELL_PARAMETERS angstrom
6.987 0.000 0.000
-3.493 6.051 0.000
0.000 0.000 7.172
ATOMIC_POSITIONS crystal
Pr 0.000 0.342 0.250
Pr 0.000 0.658 0.750
Pr 0.342 0.000 0.250
Pr 0.342 0.342 0.750
Pr 0.658 0.000 0.750
Pr 0.658 0.658 0.250
F 0.000 0.000 0.250
F 0.000 0.000 0.750
F 0.056 0.367 0.918
F 0.056 0.689 0.418
F 0.311 0.367 0.418
F 0.311 0.944 0.918
F 0.333 0.667 0.175
F 0.333 0.667 0.675
F 0.367 0.056 0.582
F 0.367 0.311 0.082
F 0.633 0.689 0.918
F 0.633 0.944 0.418
F 0.667 0.333 0.325
F 0.667 0.333 0.825
F 0.689 0.056 0.082
F 0.689 0.633 0.582
F 0.944 0.311 0.582
F 0.944 0.633 0.082
! Calculated total energy   -6.670 eV per atom
! ρ   6.50 g/cm³
! SG   No. 165

---

No. 8
! Au PBE optimized geometry; values from VASP
&SYSTEM
  ibrav = 0, nat = 8, ntyp = 1
/
ATOMIC_SPECIES
Au 196.97 Au.upf
CELL_PARAMETERS angstrom
5.263 0.000 0.000
0.000 5.263 0.000
0.000 0.000 5.263
ATOMIC_POSITIONS crystal
Au 0.000 0.000 0.000
Au 0.000 0.250 0.500
Au 0.000 0.750 0.500
Au 0.250 0.500 0.000
Au 0.500 0.000 0.250
Au 0.500 0.000 0.750
Au 0.500 0.500 0.500
Au 0.750 0.500 0.000
! Formation energy   12.0 kJ/mol of formula units
! Calculated total energy   -3.142 eV per atom
! Energy above the most stable polymorph in this dataset   12.01 kJ/mol of atoms
! ρ   17.95 g/cm³
! SG   No. 223

---

No. 9
! SrTePtO PBE optimized geometry; values from VASP
&SYSTEM
  ibrav = 0, nat = 16, ntyp = 4
/
ATOMIC_SPECIES
Sr 87.62 Sr.upf
Te 127.60 Te.upf
Pt 195.08 Pt.upf
O 16.00 O.upf
CELL_PARAMETERS angstrom
6.767 0.000 0.000
0.000 7.187 0.000
0.000 0.000 7.227
ATOMIC_POSITIONS crystal
Sr 0.113 0.114 0.378
Sr 0.387 0.886 0.878
Sr 0.613 0.386 0.622
Sr 0.887 0.614 0.122
Te 0.084 0.568 0.576
Te 0.416 0.432 0.076
Te 0.584 0.932 0.424
Te 0.916 0.068 0.924
Pt 0.126 0.356 0.859
Pt 0.374 0.644 0.359
Pt 0.626 0.144 0.141
Pt 0.874 0.856 0.641
O 0.091 0.908 0.093
O 0.409 0.092 0.593
O 0.591 0.592 0.907
O 0.909 0.408 0.407
! Calculated total energy   -5.290 eV per atom
! Energy above the most stable polymorph in this dataset   0.00 kJ/mol of atoms
! ρ   8.06 g/cm³
! SG   No. 19

---

No. 10
! Tb3Bi3Pt2 PBE optimized geometry; values from VASP
&SYSTEM
  ibrav = 0, nat = 8, ntyp = 3
/
ATOMIC_SPECIES
Tb 158.93 Tb.upf
Bi 208.98 Bi.upf
Pt 195.08 Pt.upf
CELL_PARAMETERS angstrom
4.488 0.000 0.000
0.000 4.488 0.000
0.000 0.000 13.950
ATOMIC_POSITIONS crystal
Tb 0.000 0.000 0.000
Tb 0.000 0.000 0.250
Tb 0.000 0.000 0.750
Bi 0.000 0.000 0.500
Bi 0.500 0.500 0.000
Bi 0.500 0.500 0.500
Pt 0.000 0.500 0.639
Pt 0.500 0.000 0.361
! Calculated total energy   -4.808 eV per atom
! ρ   8.83 g/cm³
! SG   No. 115

---

No. 11
! NbCuBiAu PBE optimized geometry; values from VASP
&SYSTEM
  ibrav = 0, nat = 4, ntyp = 4
/
ATOMIC_SPECIES
Nb 92.91 Nb.upf
Cu 63.55 Cu.upf
Bi 208.98 Bi.upf
Au 196.97 Au.upf
CELL_PARAMETERS angstrom
0.000 3.416 3.416
3.416 0.000 3.416
3.416 3.416 0.000
ATOMIC_POSITIONS crystal
Nb 0.000 0.000 0.000
Cu 0.750 0.750 0.750
Bi 0.500 0.500 0.500
Au 0.250 0.250 0.250
! Calculated total energy   -4.824 eV per atom
! Energy above the most stable polymorph in this dataset   11.62 kJ/mol of atoms
! ρ   11.72 g/cm³
! SG   No. 216

---

No. 12
! NdGd3Pt4 PBE optimized geometry; values from VASP
&SYSTEM
  ibrav = 0, nat = 8, ntyp = 3
/
ATOMIC_SPECIES
Nd 144.24 Nd.upf
Gd 157.25 Gd.upf
Pt 195.08 Pt.upf
CELL_PARAMETERS angstrom
5.640 0.000 0.000
0.000 4.567 0.000
-0.055 0.000 7.180
ATOMIC_POSITIONS crystal
Nd 0.000 0.000 0.000
Gd 0.220 0.000 0.500
Gd 0.500 0.500 0.137
Gd 0.719 0.500 0.634
Pt 0.016 0.500 0.282
Pt 0.208 0.500 0.766
Pt 0.513 0.000 0.859
Pt 0.701 0.000 0.366
! Formation energy   -946.0 kJ/mol of formula units
! Calculated total energy   -6.594 eV per atom
! ρ   12.54 g/cm³
! SG   No. 6